{"formula": "TiB2RhO", "functional": "PBE", "state": "optimized geometry", "e_form_raw_ev_per_atom": 0.212, "lattice": [[3.737, 0.000, 0.000], [0.000, 3.737, 0.000], [0.000, 0.000, 3.753]], "species": ["Ti", "B", "B", "Rh", "O"], "frac_coords": [[0.000, 0.000, 0.000], [0.000, 0.500, 0.500], [0.500, 0.000, 0.500], [0.500, 0.500, 0.000], [0.000, 0.000, 0.500]]}